The following is a PBE calculation of a relaxed structure of FeAg2Rh, from Alexandria via LeMat-Bulk.

a = 5.0544 Å, b = 5.0544 Å, c = 5.0544 Å
α = 135.55°, β = 135.55°, γ = 64.68°
Atoms (fractional coordinates):
Fe (0.2500, 0.7500, 0.5000)
Ag (0.0000, 0.0000, 0.0000)
Ag (0.5000, 0.5000, 0.0000)
Rh (0.7500, 0.2500, 0.5000)

Results
* ΔE_f: 0.275 eV/atom
* excess energy over the best structure of this formula in the dataset: 127 meV per atom
* DFT total energy: -5.104 eV per atom
* volume: 62.4 Å³ per cell
* total magnetic moment: 0.9627 μB per atom
* DOS(E_F): 0.66 states/eV per atom